A geometry-optimized PuCu2Hg structure, computed with PBE.

## Properties
* polymorph energy (0 for the lowest one): 33 meV/atom
* space group: No. 123

a b c (Å): 3.1524 3.1524 7.4390
angles (deg): 90.00 90.00 90.00
Positions (direct):
Cu  0.0000  0.0000  0.2264
Pu  0.5000  0.5000  0.5000
Cu  0.0000  0.0000  0.7736
Hg  0.5000  0.5000  0.0000

A geometry-optimized LiCe2Re2N6 structure, computed with PBE.

## Properties
* formation energy from raw total energies: -45.3 kJ/mol of atoms
* space group: No. 166

a b c (Å): 5.5933 5.5933 6.7405
angles (deg): 65.49 65.49 60.00
Positions (direct):
Re  0.3960  0.3960  0.8121
Re  0.6040  0.6040  0.1879
Ce  0.7946  0.7946  0.6162
N  0.7777  0.2571  0.7082
Li  0.0000  0.0000  0.0000
N  0.2571  0.2571  0.7082
Ce  0.2054  0.2054  0.3838
N  0.2223  0.7429  0.2918
N  0.7429  0.2223  0.2918
N  0.7429  0.7429  0.2918
N  0.2571  0.7777  0.7082